Ac2Si2Ag3 (PBE, relaxed); symmetry = C2/m (12); Fermi-level density of states = 0.60 states/eV/atom; E_form (uncorrected) = -297 meV per atom; raw total energy = -4.242 eV per atom
1.0
-3.963 1.290 1.953
3.598 -2.912 3.800
2.107 6.657 -0.119
Ac Si Ag
2 2 3
Cartesian
-0.344 0.575 4.346
2.086 4.460 1.288
0.709 4.034 4.199
1.033 1.000 1.435
-1.982 0.645 0.977
-0.744 2.956 1.962
2.486 2.079 3.672